No. 1
A relaxed TaAg crystal. Source: the Alexandria database, functional GGA-PBEsol.

Unit cell a=2.8331 b=2.8331 c=5.1884 alpha=74.16 beta=74.16 gamma=60.00
Positions (direct):
Ag1 0.0000 0.0000 0.0000
Ta1 0.5000 0.5000 0.5000

Output
* ΔH_f (0 K): 0.30 eV/atom
* D(E_F): 1.48 states/eV/cell


No. 2
A relaxed TaAg2 crystal. Source: the Alexandria database, functional GGA-PBEsol.

Unit cell a=5.0260 b=5.3256 c=5.3256 alpha=77.13 beta=61.84 gamma=61.84
Positions (direct):
Ag1 0.8565 0.7871 0.5000
Ag2 0.3565 0.5000 0.7871
Ag3 0.6435 0.5000 0.2129
Ag4 0.1435 0.2129 0.5000
Ta1 0.7500 0.0000 0.0000
Ta2 0.2500 0.0000 0.0000

Output
* ΔH_f (0 K): 0.65 eV/atom
* D(E_F): 4.51 states/eV/cell


No. 3
A relaxed Ta2Ag crystal. Source: the Alexandria database, functional GGA-PBEsol.

Unit cell a=2.6309 b=4.6816 c=8.5290 alpha=90.00 beta=90.00 gamma=90.00
Positions (direct):
Ag1 0.5000 0.5000 0.5000
Ta1 0.1811 0.0000 0.3337
Ta2 0.8189 0.0000 0.6663
Ta3 0.6811 0.5000 0.1663
Ta4 0.3189 0.5000 0.8337
Ag2 0.0000 0.0000 0.0000

Output
* ΔH_f (0 K): 0.38 eV/atom
* D(E_F): 5.91 states/eV/cell


No. 4
A relaxed Ta3Ag crystal. Source: the Alexandria database, functional GGA-PBEsol.

Unit cell a=2.7358 b=4.7051 c=5.4655 alpha=90.00 beta=99.32 gamma=90.00
Positions (direct):
Ag1 0.0000 0.0000 0.0000
Ta1 0.5000 0.0000 0.5000
Ta2 0.7478 0.5000 0.2612
Ta3 0.2522 0.5000 0.7388

Output
* energy above the most stable polymorph in this dataset: 5 meV/atom
* ΔH_f (0 K): 0.22 eV/atom
* D(E_F): 3.55 states/eV/cell


No. 5
A relaxed Ta3Ag crystal. Source: the Alexandria database, functional GGA-PBEsol.

Unit cell a=3.5951 b=4.3752 c=4.3752 alpha=90.00 beta=90.00 gamma=90.00
Positions (direct):
Ag1 0.0000 0.0000 0.0000
Ta1 0.5000 0.0000 0.5000
Ta2 0.0000 0.5000 0.5000
Ta3 0.5000 0.5000 0.0000

Output
* energy above the most stable polymorph in this dataset: 20 meV/atom
* ΔH_f (0 K): 0.23 eV/atom
* D(E_F): 3.50 states/eV/cell


No. 6
A relaxed TaAg crystal. Source: the Alexandria database, functional GGA-PBEsol.

Unit cell a=4.1481 b=4.1481 c=4.1481 alpha=60.00 beta=60.00 gamma=60.00
Positions (direct):
Ta1 0.7500 0.7500 0.7500
Ag1 0.0000 0.0000 0.0000

Output
* ΔH_f (0 K): 2.23 eV/atom
* D(E_F): 4.54 states/eV/cell


No. 7
A relaxed Ta2Ag crystal. Source: the Alexandria database, functional GGA-PBEsol.

Unit cell a=2.8307 b=2.8307 c=7.5088 alpha=90.00 beta=90.00 gamma=120.00
Positions (direct):
Ag1 0.0000 0.0000 0.0000
Ta1 0.3333 0.6667 0.3284
Ta2 0.6667 0.3333 0.6716

Output
* ΔH_f (0 K): 0.27 eV/atom
* D(E_F): 2.88 states/eV/cell


No. 8
A relaxed TaAg2 crystal. Source: the Alexandria database, functional GGA-PBEsol.

Unit cell a=2.7157 b=4.8833 c=4.8833 alpha=90.00 beta=90.00 gamma=90.00
Positions (direct):
Ag1 0.5000 0.5000 0.0000
Ag2 0.5000 0.0000 0.5000
Ta1 0.0000 0.0000 0.0000

Output
* ΔH_f (0 K): 0.80 eV/atom
* D(E_F): 2.03 states/eV/cell


No. 9
A relaxed Ta3Ag crystal. Source: the Alexandria database, functional GGA-PBEsol.

Unit cell a=4.0779 b=4.0779 c=5.0831 alpha=113.65 beta=113.65 gamma=90.00
Positions (direct):
Ta1 0.5000 0.5000 0.0000
Ta2 0.2500 0.7500 0.5000
Ta3 0.7500 0.2500 0.5000
Ag1 0.0000 0.0000 0.0000

Output
* energy above the most stable polymorph in this dataset: 54 meV/atom
* ΔH_f (0 K): 0.26 eV/atom
* D(E_F): 3.73 states/eV/cell


No. 10
A relaxed TaAg crystal. Source: the Alexandria database, functional GGA-PBEsol.

Unit cell a=2.8358 b=5.7072 c=6.7580 alpha=104.59 beta=90.00 gamma=104.39
Positions (direct):
Ag1 0.9971 0.9942 0.0042
Ag2 0.3384 0.6768 0.6701
Ta1 0.0591 0.1182 0.6074
Ta2 0.6686 0.3371 0.3376
Ta3 0.7164 0.4327 0.9378
Ag3 0.3872 0.7743 0.2762

Output
* ΔH_f (0 K): 0.30 eV/atom
* D(E_F): 4.10 states/eV/cell


No. 11
A relaxed Ta3Ag crystal. Source: the Alexandria database, functional GGA-PBEsol.

Unit cell a=2.7496 b=5.4610 c=5.4610 alpha=117.24 beta=99.66 gamma=99.66
Positions (direct):
Ta1 0.0000 0.5000 0.5000
Ag1 0.0000 0.0000 0.0000
Ta2 0.5000 0.5000 0.0000
Ta3 0.5000 0.0000 0.5000

Output
* energy above the most stable polymorph in this dataset: 0 meV/atom
* ΔH_f (0 K): 0.21 eV/atom
* D(E_F): 3.21 states/eV/cell


No. 12
A relaxed TaAg crystal. Source: the Alexandria database, functional GGA-PBEsol.

Unit cell a=2.7861 b=2.7861 c=8.9988 alpha=90.00 beta=90.00 gamma=102.67
Positions (direct):
Ag1 0.2500 0.7500 0.1241
Ta1 0.7500 0.2500 0.3766
Ag2 0.7500 0.2500 0.8759
Ta2 0.2500 0.7500 0.6234

Output
* ΔH_f (0 K): 0.11 eV/atom
* D(E_F): 2.67 states/eV/cell